An optimized crystal structure of ReTcSb2Se, computed with GGA-PBE.

Summary:
Raw total energy = -25.8 eV/cell

Lattice parameters (Å, degrees): 5.3744 5.3744 4.4942 90.00 90.00 90.00
Closest atoms and distances in Å follow each position.
Fractional coordinates of all 5 atoms:
Re: 0.0000 0.0000 0.0000  2 Se 2.25
Tc: 0.5000 0.5000 0.0000  8 Sb 3.50, 4 Re 3.80
Sb: 0.0000 0.5000 0.5000  2 Se 2.69
Sb: 0.5000 0.0000 0.5000  2 Se 2.69
Se: 0.0000 0.0000 0.5000  2 Re 2.25

An optimized crystal structure of Re2SbWSe, computed with GGA-PBE.

Summary:
Raw total energy = -37.1 eV/cell

Lattice parameters (Å, degrees): 4.6042 4.6042 4.6923 90.00 90.00 90.00
Closest atoms and distances in Å follow each position.
Fractional coordinates of all 5 atoms:
Re: 0.0000 0.5000 0.0000  2 Se 2.30
Re: 0.5000 0.0000 0.0000  2 Se 2.30
Sb: 0.0000 0.0000 0.5000  4 W 3.26, 8 Re 3.29
W: 0.5000 0.5000 0.5000  2 Se 2.35
Se: 0.5000 0.5000 0.0000  4 Re 2.30, 2 W 2.35

An optimized crystal structure of ZnRe2SbSe, computed with GGA-PBE.

Summary:
Raw total energy = -23.1 eV/cell

Lattice parameters (Å, degrees): 5.0247 5.0247 4.8903 90.00 90.00 90.00
Closest atoms and distances in Å follow each position.
Fractional coordinates of all 5 atoms:
Zn: 0.0000 0.0000 0.0000  2 Sb 2.45
Re: 0.0000 0.5000 0.5000  2 Sb 2.51
Re: 0.5000 0.0000 0.5000  2 Sb 2.51
Sb: 0.0000 0.0000 0.5000  2 Zn 2.45, 4 Re 2.51
Se: 0.5000 0.5000 0.0000  8 Re 3.51, 4 Zn 3.55

An optimized crystal structure of ReSiSb3, computed with GGA-PBE.

Summary:
Raw total energy = -22.7 eV/cell

Lattice parameters (Å, degrees): 5.0622 5.0622 5.0622 90.00 90.00 90.00
Closest atoms and distances in Å follow each position.
Fractional coordinates of all 5 atoms:
Re: 0.0000 0.0000 0.0000  12 Sb 3.58
Si: 0.5000 0.5000 0.5000  6 Sb 2.53
Sb: 0.0000 0.5000 0.5000  2 Si 2.53
Sb: 0.5000 0.0000 0.5000  2 Si 2.53
Sb: 0.5000 0.5000 0.0000  2 Si 2.53

An optimized crystal structure of Re2SiSb, computed with GGA-PBE.

Summary:
Raw total energy = -33.2 eV/cell

Lattice parameters (Å, degrees): 4.4428 4.4428 4.4428 60.00 60.00 60.00
Closest atoms and distances in Å follow each position.
Fractional coordinates of all 4 atoms:
Re: 0.2500 0.2500 0.2500  4 Sb 2.72, 4 Si 2.72
Re: 0.7500 0.7500 0.7500  4 Si 2.72, 4 Sb 2.72
Si: 0.0000 0.0000 0.0000  8 Re 2.72
Sb: 0.5000 0.5000 0.5000  8 Re 2.72

An optimized crystal structure of Re2SiSb, computed with GGA-PBE.

Summary:
Raw total energy = -32.8 eV/cell

Lattice parameters (Å, degrees): 3.0658 3.7941 5.7488 90.00 102.66 90.00
Closest atoms and distances in Å follow each position.
Fractional coordinates of all 4 atoms:
Re: 0.1375 0.0000 0.2844  2 Si 2.40
Re: 0.8625 0.0000 0.7156  2 Si 2.40
Si: 0.5000 0.5000 0.5000  4 Re 2.40
Sb: 0.5000 0.5000 0.0000  2 Si 2.87, 8 Re 2.88-2.95, 2 Sb 3.07

An optimized crystal structure of Re2SiSb, computed with GGA-PBE.

Summary:
Raw total energy = -63.8 eV/cell

Lattice parameters (Å, degrees): 9.1637 9.1637 9.1637 153.88 153.88 37.28
Closest atoms and distances in Å follow each position.
Fractional coordinates of all 8 atoms:
Re: 0.0492 0.6250 0.9242  2 Si 2.51, 2 Re 2.52, 2 Sb 2.76
Re: 0.3750 0.2992 0.4242  2 Si 2.51, 2 Re 2.52, 2 Sb 2.76
Re: 0.7008 0.1250 0.0758  2 Si 2.51, 2 Re 2.52, 2 Sb 2.76
Re: 0.8750 0.9508 0.5758  2 Si 2.51, 2 Re 2.52, 2 Sb 2.76
Si: 0.0000 0.0000 0.0000  4 Re 2.51
Si: 0.7500 0.2500 0.5000  4 Re 2.51
Sb: 0.2500 0.7500 0.5000  4 Re 2.76, 4 Si 2.93
Sb: 0.5000 0.5000 0.0000  4 Re 2.76, 4 Si 2.93

An optimized crystal structure of Re2SiSb, computed with GGA-PBE.

Summary:
Raw total energy = -32.7 eV/cell

Lattice parameters (Å, degrees): 8.4386 8.4386 8.4386 20.46 20.46 20.46
Closest atoms and distances in Å follow each position.
Fractional coordinates of all 4 atoms:
Re: 0.2429 0.2429 0.2429  3 Si 2.56, 3 Sb 2.83
Re: 0.7571 0.7571 0.7571  3 Si 2.56, 3 Sb 2.83
Si: 0.5000 0.5000 0.5000  6 Re 2.56
Sb: 0.0000 0.0000 0.0000  6 Re 2.83, 6 Sb 3.00

An optimized crystal structure of Re2SiSb, computed with GGA-PBE.

Summary:
Raw total energy = -33.0 eV/cell

Lattice parameters (Å, degrees): 4.4285 4.4285 3.1719 90.00 90.00 90.00
Closest atoms and distances in Å follow each position.
Fractional coordinates of all 4 atoms:
Re: 0.0000 0.5000 0.0000  4 Sb 2.72, 4 Si 2.72
Re: 0.5000 0.0000 0.0000  4 Sb 2.72, 4 Si 2.72
Si: 0.0000 0.0000 0.5000  8 Re 2.72
Sb: 0.5000 0.5000 0.5000  8 Re 2.72

An optimized crystal structure of Re2SiSb, computed with GGA-PBE.

Summary:
Raw total energy = -33.4 eV/cell

Lattice parameters (Å, degrees): 4.7207 4.7207 4.9082 107.03 107.03 39.15
Closest atoms and distances in Å follow each position.
Fractional coordinates of all 4 atoms:
Re: 0.0000 0.0000 0.0000  2 Si 2.53, 3 Sb 2.63-2.72
Re: 0.2473 0.2473 0.6492  3 Si 2.50-2.52, 2 Sb 2.73
Si: 0.5203 0.5203 0.6097  5 Re 2.50-2.53
Sb: 0.7598 0.7598 0.2038  5 Re 2.63-2.73

An optimized crystal structure of Re2SiSb, computed with GGA-PBE.

Summary:
Raw total energy = -33.0 eV/cell

Lattice parameters (Å, degrees): 5.7896 5.7896 5.7896 148.68 139.29 52.24
Closest atoms and distances in Å follow each position.
Fractional coordinates of all 4 atoms:
Re: 0.0000 0.0000 0.0000  4 Si 2.61, 2 Sb 2.79
Re: 0.7390 0.2390 0.5000  2 Si 2.46, 4 Sb 2.67
Si: 0.5561 0.5561 0.0000  6 Re 2.46-2.61
Sb: 0.3145 0.8145 0.5000  6 Re 2.67-2.79, 2 Si 2.96

An optimized crystal structure of Re2SiSb, computed with GGA-PBE.

Summary:
Raw total energy = -33.1 eV/cell

Lattice parameters (Å, degrees): 4.5305 4.5305 5.1270 103.64 103.64 39.55
Closest atoms and distances in Å follow each position.
Fractional coordinates of all 4 atoms:
Re: 0.2234 0.2234 0.2123  2 Si 2.47, 1 Sb 2.69
Re: 0.7766 0.7766 0.7877  2 Si 2.47, 1 Sb 2.69
Si: 0.5000 0.5000 0.0000  4 Re 2.47
Sb: 0.0000 0.0000 0.5000  6 Re 2.69-2.89, 4 Si 2.99

An optimized crystal structure of Re2SiSb, computed with GGA-PBE.

Summary:
Raw total energy = -32.9 eV/cell

Lattice parameters (Å, degrees): 8.3035 8.3035 8.3035 21.45 21.45 21.45
Closest atoms and distances in Å follow each position.
Fractional coordinates of all 4 atoms:
Re: 0.0000 0.0000 0.0000  3 Si 2.47, 3 Re 2.73
Re: 0.2484 0.2484 0.2484  3 Re 2.73, 3 Sb 2.75
Si: 0.7367 0.7367 0.7367  3 Re 2.47
Sb: 0.4958 0.4958 0.4958  3 Re 2.75, 3 Si 2.87

An optimized crystal structure of ReSi2Sb2, computed with GGA-PBE.

Summary:
Raw total energy = -58.4 eV/cell

Lattice parameters (Å, degrees): 6.4295 6.4295 4.6787 90.00 90.00 90.00
Closest atoms and distances in Å follow each position.
Fractional coordinates of all 10 atoms:
Re: 0.0000 0.0000 0.0000  4 Si 2.50
Re: 0.5000 0.5000 0.0000  4 Si 2.50
Si: 0.1365 0.3635 0.0000  1 Si 2.48, 2 Re 2.50
Si: 0.3635 0.8635 0.0000  1 Si 2.48, 2 Re 2.50
Si: 0.6365 0.1365 0.0000  1 Si 2.48, 2 Re 2.50
Si: 0.8635 0.6365 0.0000  1 Si 2.48, 2 Re 2.50
Sb: 0.1798 0.6798 0.5000  6 Si 2.87-3.11
Sb: 0.3202 0.1798 0.5000  6 Si 2.87-3.11
Sb: 0.6798 0.8202 0.5000  6 Si 2.87-3.11
Sb: 0.8202 0.3202 0.5000  6 Si 2.87-3.11